# NaGd | OQMD | PBE | relaxed
data_NaGd
_chemical_formula_sum 'Na4 Gd4'
_symmetry_space_group_name_H-M 'F m -3 m'
_symmetry_Int_Tables_number 225
_symmetry_space_group_name_Hall '-F 4 2 3'
_cell_length_a 6.407
_cell_length_b 6.407
_cell_length_c 6.407
_cell_angle_alpha 90.00
_cell_angle_beta 90.00
_cell_angle_gamma 90.00
loop_
_atom_site_label
_atom_site_type_symbol
_atom_site_fract_x
_atom_site_fract_y
_atom_site_fract_z
Na1 Na 0.000 0.000 0.000
Gd1 Gd 0.000 0.000 0.500
# M_tot   0.0957 μB/atom
# Calculated total energy   -17.63 eV/cell
# Polymorph energy (0 for the lowest one)   528 meV per atom